[1]
SrMnTcP2 (PBE, relaxed); energy of formation from the pure elements = 2067 meV/atom; calculated total energy = -21.70 eV/f.u.; energy relative to the lowest polymorph listed for this composition = 274.1 kJ per mole of atoms
1.0
5.349 0.000 0.000
0.000 5.349 0.000
0.000 0.000 5.316
Sr Mn Tc P
1 1 1 2
direct
0.000 0.000 0.000 Sr
0.500 0.500 0.500 Mn
0.000 0.000 0.500 Tc
0.000 0.500 0.000 P
0.500 0.000 0.000 P

=====

[2]
Hf5Al2Pb (PBE, relaxed); energy of formation from the pure elements = -202 meV/atom; calculated total energy = -62.58 eV/f.u.
1.0
-3.663 3.663 6.249
3.663 -3.663 6.249
3.663 3.663 -6.249
Hf Al Pb
10 4 2
direct
0.000 0.000 0.000 Hf
0.003 0.503 0.809 Hf
0.194 0.003 0.500 Hf
0.306 0.806 0.809 Hf
0.497 0.306 0.500 Hf
0.500 0.500 0.000 Hf
0.503 0.694 0.500 Hf
0.694 0.194 0.191 Hf
0.806 0.997 0.500 Hf
0.997 0.497 0.191 Hf
0.137 0.363 0.500 Al
0.363 0.863 0.227 Al
0.637 0.137 0.773 Al
0.863 0.637 0.500 Al
0.250 0.250 0.000 Pb
0.750 0.750 0.000 Pb

=====

[3]
SmDyBr4 (PBE, relaxed); calculated total energy = -25.29 eV/f.u.; uncorrected formation energy = -9.28 eV/f.u.
1.0
3.955 -8.694 0.000
3.955 8.694 0.000
-3.946 0.000 5.778
Sm Dy Br
2 2 8
direct
0.054 0.946 0.750 Sm
0.946 0.054 0.250 Sm
0.444 0.556 0.250 Dy
0.556 0.444 0.750 Dy
0.081 0.424 0.246 Br
0.187 0.334 0.756 Br
0.334 0.187 0.256 Br
0.424 0.081 0.746 Br
0.576 0.919 0.254 Br
0.666 0.813 0.744 Br
0.813 0.666 0.244 Br
0.919 0.576 0.754 Br